LiCd2Pb5 after structural relaxation. Source: Alexandria, functional PBE.

Values from the calculation:
- calculated volume (Å³/atom) = 27.8
- E_form (eV per atom) = -0.0306
- crystal system = orthorhombic
- magnetization (μB/f.u.) = 0.00
- polymorph energy (0 for the lowest one) (eV/atom) = 0.000

a b c (Å): 5.052 6.294 15.288
angles (deg): 90.00 90.00 113.66
Fractional positions:
Li1 0.775 0.550 0.750
Li2 0.225 0.450 0.250
Pb1 0.053 0.105 0.397
Pb2 0.652 0.304 0.955
Pb3 0.947 0.895 0.897
Pb4 0.507 0.014 0.750
Pb5 0.053 0.105 0.103
Pb6 0.947 0.895 0.603
Pb7 0.348 0.696 0.455
Pb8 0.493 0.986 0.250
Pb9 0.652 0.304 0.545
Pb10 0.348 0.696 0.045
Cd1 0.242 0.484 0.654
Cd2 0.758 0.516 0.154
Cd3 0.242 0.484 0.846
Cd4 0.758 0.516 0.346